<one>
Entry from the Alexandria database: a relaxed CeTm2Sn crystal (PBE).

Structure (CIF):
```
data_CeTm2Sn
_chemical_formula_sum 'Ce1 Tm2 Sn1'
_space_group_name_H-M_alt 'P 1'
_space_group_IT_number 1
_space_group_name_Hall 'P 1'
_cell_length_a 3.444
_cell_length_b 3.444
_cell_length_c 11.902
_cell_angle_alpha 81.68
_cell_angle_beta 81.68
_cell_angle_gamma 60.00
loop_
_atom_site_label
_atom_site_fract_x
_atom_site_fract_y
_atom_site_fract_z
_atom_site_occupancy
Tm1 0.088 0.088 0.737 1
Tm2 0.912 0.912 0.263 1
Sn1 0.000 0.000 0.000 1
Ce1 0.500 0.500 0.500 1
```

Summary:
Total moment   0.5 Bohr magnetons per cell
Volume   30.1 Å³ per atom


<two>
Entry from the Alexandria database: a relaxed CeTm2Sn crystal (PBE).

Structure (CIF):
```
data_CeTm2Sn
_chemical_formula_sum 'Ce1 Tm2 Sn1'
_space_group_name_H-M_alt 'P 1'
_space_group_IT_number 1
_space_group_name_Hall 'P 1'
_cell_length_a 5.323
_cell_length_b 5.323
_cell_length_c 5.323
_cell_angle_alpha 60.00
_cell_angle_beta 60.00
_cell_angle_gamma 60.00
loop_
_atom_site_label
_atom_site_fract_x
_atom_site_fract_y
_atom_site_fract_z
_atom_site_occupancy
Tm1 0.250 0.250 0.250 1
Tm2 0.750 0.750 0.750 1
Sn1 0.000 0.000 0.000 1
Ce1 0.500 0.500 0.500 1
```

Summary:
Total moment   1.4 Bohr magnetons per cell
Volume   26.7 Å³ per atom


Quick ranking, most stable first: <two>, <one>.


<one>
Entry from the Alexandria database: a relaxed CeTm2Sn crystal (PBE).

Structure (CIF):
```
data_CeTm2Sn
_chemical_formula_sum 'Ce1 Tm2 Sn1'
_space_group_name_H-M_alt 'P 1'
_space_group_IT_number 1
_space_group_name_Hall 'P 1'
_cell_length_a 4.617
_cell_length_b 4.833
_cell_length_c 4.833
_cell_angle_alpha 90.00
_cell_angle_beta 90.00
_cell_angle_gamma 90.00
loop_
_atom_site_label
_atom_site_fract_x
_atom_site_fract_y
_atom_site_fract_z
_atom_site_occupancy
Tm1 0.000 0.000 0.500 1
Tm2 0.000 0.500 0.000 1
Sn1 0.500 0.000 0.000 1
Ce1 0.500 0.500 0.500 1
```

Summary:
Total moment   0.1 Bohr magnetons per cell
Volume   27.0 Å³ per atom


<two>
Entry from the Alexandria database: a relaxed CeTm2Sn crystal (PBE).

Structure (CIF):
```
data_CeTm2Sn
_chemical_formula_sum 'Ce1 Tm2 Sn1'
_space_group_name_H-M_alt 'P 1'
_space_group_IT_number 1
_space_group_name_Hall 'P 1'
_cell_length_a 3.809
_cell_length_b 3.809
_cell_length_c 7.668
_cell_angle_alpha 90.00
_cell_angle_beta 90.00
_cell_angle_gamma 90.00
loop_
_atom_site_label
_atom_site_fract_x
_atom_site_fract_y
_atom_site_fract_z
_atom_site_occupancy
Tm1 0.000 0.000 0.776 1
Tm2 0.000 0.000 0.224 1
Sn1 0.500 0.500 0.000 1
Ce1 0.500 0.500 0.500 1
```

Summary:
Total moment   1.0 Bohr magnetons per cell
Volume   27.8 Å³ per atom


Quick ranking, most stable first: <one>, <two>.


<one>
Entry from the Alexandria database: a relaxed CeUSn2 crystal (PBE).

Structure (CIF):
```
data_CeUSn2
_chemical_formula_sum 'Ce1 U1 Sn2'
_space_group_name_H-M_alt 'P 1'
_space_group_IT_number 1
_space_group_name_Hall 'P 1'
_cell_length_a 3.386
_cell_length_b 3.386
_cell_length_c 9.167
_cell_angle_alpha 90.00
_cell_angle_beta 90.00
_cell_angle_gamma 90.00
loop_
_atom_site_label
_atom_site_fract_x
_atom_site_fract_y
_atom_site_fract_z
_atom_site_occupancy
U1 0.500 0.500 0.000 1
Sn1 0.000 0.000 0.754 1
Sn2 0.000 0.000 0.246 1
Ce1 0.500 0.500 0.500 1
```

Summary:
Total moment   3.9 Bohr magnetons per cell
Volume   26.3 Å³ per atom


<two>
Entry from the Alexandria database: a relaxed CeUSn2 crystal (PBE).

Structure (CIF):
```
data_CeUSn2
_chemical_formula_sum 'Ce1 U1 Sn2'
_space_group_name_H-M_alt 'P 1'
_space_group_IT_number 1
_space_group_name_Hall 'P 1'
_cell_length_a 3.054
_cell_length_b 5.880
_cell_length_c 5.880
_cell_angle_alpha 90.00
_cell_angle_beta 90.00
_cell_angle_gamma 90.00
loop_
_atom_site_label
_atom_site_fract_x
_atom_site_fract_y
_atom_site_fract_z
_atom_site_occupancy
U1 0.500 0.500 0.500 1
Sn1 0.000 0.000 0.500 1
Sn2 0.000 0.500 0.000 1
Ce1 0.500 0.000 0.000 1
```

Summary:
Total moment   3.8 Bohr magnetons per cell
Volume   26.4 Å³ per atom


Quick ranking, most stable first: <two>, <one>.


<one>
Entry from the Alexandria database: a relaxed CeVSn crystal (PBE).

Structure (CIF):
```
data_CeVSn
_chemical_formula_sum 'Ce1 V1 Sn1'
_space_group_name_H-M_alt 'P 1'
_space_group_IT_number 1
_space_group_name_Hall 'P 1'
_cell_length_a 3.634
_cell_length_b 4.814
_cell_length_c 4.814
_cell_angle_alpha 120.00
_cell_angle_beta 90.00
_cell_angle_gamma 90.00
loop_
_atom_site_label
_atom_site_fract_x
_atom_site_fract_y
_atom_site_fract_z
_atom_site_occupancy
Sn1 0.833 0.667 0.333 1
Ce1 0.333 0.333 0.667 1
V1 0.833 0.000 0.000 1
```

Summary:
Total moment   4.0 Bohr magnetons per cell
Volume   24.3 Å³ per atom


<two>
Entry from the Alexandria database: a relaxed CeVSn crystal (PBE).

Structure (CIF):
```
data_CeVSn
_chemical_formula_sum 'Ce1 V1 Sn1'
_space_group_name_H-M_alt 'P 1'
_space_group_IT_number 1
_space_group_name_Hall 'P 1'
_cell_length_a 3.879
_cell_length_b 3.879
_cell_length_c 5.471
_cell_angle_alpha 110.76
_cell_angle_beta 110.76
_cell_angle_gamma 90.00
loop_
_atom_site_label
_atom_site_fract_x
_atom_site_fract_y
_atom_site_fract_z
_atom_site_occupancy
Sn1 0.984 0.984 0.967 1
Ce1 0.313 0.313 0.627 1
V1 0.553 0.553 0.106 1
```

Summary:
Total moment   0.6 Bohr magnetons per cell
Volume   23.7 Å³ per atom


Quick ranking, most stable first: <one>, <two>.